No. 1
Entry from the Alexandria database: crystalline LaTbDy2Er at its relaxed geometry (PBE-GGA).

Computed properties:
Symmetry: Cmcm (63)
Formation energy in eV per atom: 0.366

Unit cell a=7.136 b=7.136 c=7.228 alpha=90.00 beta=90.00 gamma=107.60
Fractional coordinates of all 10 atoms:
La 0.232 0.768 0.750
La 0.768 0.232 0.250
Tb 0.499 0.501 0.750
Tb 0.501 0.499 0.250
Dy 0.190 0.190 0.000
Dy 0.190 0.190 0.500
Dy 0.810 0.810 0.000
Dy 0.810 0.810 0.500
Er 0.220 0.780 0.250
Er 0.780 0.220 0.750



No. 2
Entry from the Alexandria database: crystalline Na3ZrAl at its relaxed geometry (PBE-GGA).

Computed properties:
Symmetry: Pm-3m (221)
ΔE to the lowest computed polymorph in kJ/mol of formula units: 173
Formation energy in eV per atom: 1.421

Unit cell a=5.989 b=5.989 c=5.989 alpha=90.00 beta=90.00 gamma=90.00
Fractional coordinates of all 5 atoms:
Na 0.000 0.000 0.500
Na 0.000 0.500 0.000
Na 0.500 0.000 0.000
Zr 0.000 0.000 0.000
Al 0.500 0.500 0.500



No. 3
Entry from the Alexandria database: crystalline Ba2SrSe at its relaxed geometry (PBE-GGA).

Computed properties:
Symmetry: I-4m2 (119)
ΔE to the lowest computed polymorph in kJ/mol of formula units: 158
Formation energy from raw total energies in eV per atom: -0.5156

Unit cell a=7.651 b=7.651 c=7.651 alpha=140.86 beta=140.86 gamma=56.55
Fractional coordinates of all 4 atoms:
Ba 0.000 0.000 0.000
Ba 0.750 0.250 0.500
Sr 0.500 0.500 0.000
Se 0.250 0.750 0.500



| no. | calculated volume (Å³ per cell) | density of states at the Fermi level (states/eV per cell) | electronic total energy (eV per atom) |
| --- | --- | --- | --- |
| 1 | 350.9 | 15.07 | -4.299 |
| 2 | 214.9 | 8.07 | -1.829 |
| 3 | 177.0 | 1.58 | -2.769 |